1.
Material: SrLi2Re
Method: DFT, GGA-PBE
State: relaxed

The structure in extended XYZ format:
```
4
Lattice="2.859 0.000 0.000 0.000 5.380 0.000 0.000 0.000 5.532" Properties=species:S:1:pos:R:3 pbc="T T T"
Li 0.000 0.000 0.000
Li 1.429 2.690 0.000
Re 1.429 0.000 2.766
Sr 0.000 2.690 2.766
```

Polymorph energy (0 for the lowest one): 0.226 eV per atom
Total energy: -14.42 eV per cell


2.
Material: SrLi2Re
Method: DFT, GGA-PBE
State: relaxed

The structure in extended XYZ format:
```
4
Lattice="-0.299 2.217 3.955 -2.694 0.445 -0.453 -2.774 -5.358 2.794" Properties=species:S:1:pos:R:3 pbc="T T T"
Li -0.592 -0.305 0.126
Li -1.063 -0.338 2.719
Re -2.475 -2.131 1.007
Sr -4.372 -2.380 3.614
```

Polymorph energy (0 for the lowest one): 0.038 eV per atom
Total energy: -15.17 eV per cell


3.
Material: SrLi2Re
Method: DFT, GGA-PBE
State: relaxed

The structure in extended XYZ format:
```
4
Lattice="-5.043 -2.902 0.484 -1.831 -1.480 5.343 1.322 3.975 -4.066" Properties=species:S:1:pos:R:3 pbc="T T T"
Li -6.708 -4.275 5.686
Li -3.606 -0.576 -0.312
Re -3.610 -2.301 3.061
Sr -1.939 0.174 2.066
```

Polymorph energy (0 for the lowest one): 0.108 eV per atom
Total energy: -14.89 eV per cell


4.
Material: SrLi2Re
Method: DFT, GGA-PBE
State: relaxed

The structure in extended XYZ format:
```
4
Lattice="2.785 0.000 0.000 0.000 4.533 0.000 0.000 0.000 6.218" Properties=species:S:1:pos:R:3 pbc="T T T"
Li 0.000 0.000 0.429
Li 0.000 0.000 2.680
Re 1.392 2.267 1.554
Sr 1.392 2.267 4.663
```

Polymorph energy (0 for the lowest one): 0.099 eV per atom
Total energy: -14.93 eV per cell